Below is a geometry-optimized RbNa2TcPt structure, with properties calculated at the PBE-GGA level.

Unit cell a=5.7907 b=5.7907 c=6.3828 alpha=90.00 beta=90.00 gamma=90.00
Space group P4/mmm (No. 123)
Symmetry-distinct sites (fractional):
Rb: 0.0000 0.0000 0.0000 x1
Na: 0.0000 0.5000 0.5000 x2
Tc: 0.0000 0.0000 0.5000 x1
Pt: 0.5000 0.5000 0.0000 x1

Summary:
- Volume: 42.81 Å³ per atom
- ΔE_f: 7.69 eV per formula unit
- Total magnetization: 0.80 μB per atom
- D(E_F): 0.97 states/eV per atom
- Crystal system: tetragonal

Below is a geometry-optimized RbNaTi2Pt structure, with properties calculated at the PBE-GGA level.

Unit cell a=4.8720 b=4.8720 c=5.3482 alpha=90.00 beta=90.00 gamma=90.00
Space group P4/mmm (No. 123)
Symmetry-distinct sites (fractional):
Rb: 0.0000 0.0000 0.0000 x1
Na: 0.5000 0.5000 0.5000 x1
Ti: 0.0000 0.5000 0.0000 x2
Pt: 0.0000 0.0000 0.5000 x1

Summary:
- Volume: 25.39 Å³ per atom
- ΔE_f: 9.64 eV per formula unit
- Total magnetization: 0.35 μB per atom
- D(E_F): 1.22 states/eV per atom
- Crystal system: tetragonal

Below is a geometry-optimized Rb2NaTlPt structure, with properties calculated at the PBE-GGA level.

Unit cell a=6.5512 b=6.5512 c=5.3391 alpha=90.00 beta=90.00 gamma=90.00
Space group P4/mmm (No. 123)
Symmetry-distinct sites (fractional):
Rb: 0.0000 0.5000 0.0000 x2
Na: 0.0000 0.0000 0.5000 x1
Tl: 0.5000 0.5000 0.5000 x1
Pt: 0.5000 0.5000 0.0000 x1

Summary:
- Volume: 45.83 Å³ per atom
- ΔE_f: -0.10 eV per formula unit
- Total magnetization: 0.00 μB per atom
- D(E_F): 0.58 states/eV per atom
- Crystal system: tetragonal

Below is a geometry-optimized RbNaTl2Pt structure, with properties calculated at the PBE-GGA level.

Unit cell a=5.3610 b=5.3610 c=5.7733 alpha=90.00 beta=90.00 gamma=90.00
Space group P4/mmm (No. 123)
Symmetry-distinct sites (fractional):
Rb: 0.0000 0.0000 0.0000 x1
Na: 0.5000 0.5000 0.0000 x1
Tl: 0.0000 0.5000 0.5000 x2
Pt: 0.5000 0.5000 0.5000 x1

Summary:
- Volume: 33.19 Å³ per atom
- Distance to the lowest polymorph of the same formula: 0.000 eV/f.u.
- ΔE_f: -0.74 eV per formula unit
- Total magnetization: 0.00 μB per atom
- D(E_F): 0.51 states/eV per atom
- Crystal system: tetragonal